1.
{
  "formula": "LiAcGe",
  "functional": "PBE-GGA",
  "state": "relaxed",
  "magmom_total_mub_per_atom": 0.000,
  "de_polymorph_ev_per_atom": 0.010,
  "total_energy_ev_per_atom": -4.147,
  "formation_energy_mev_per_atom": -601,
  "dos_ef_per_ev_cell": 3.1,
  "cell": [[-3.1123, -1.6400, -2.9755], [5.2727, -4.9008, -2.8139], [-3.6246, -9.1136, 8.8143]],
  "species": ["Li", "Li", "Li", "Li", "Li", "Li", "Ac", "Ac", "Ac", "Ac", "Ac", "Ac", "Ge", "Ge", "Ge", "Ge", "Ge", "Ge"],
  "fractional_positions": [[0.2500, 0.0018, 0.0884], [0.2500, 0.8554, 0.4590], [0.7500, 0.6585, 0.8009], [0.7500, 0.1446, 0.5410], [0.2500, 0.3415, 0.1991], [0.7500, 0.9982, 0.9116], [0.7500, 0.5160, 0.3733], [0.2500, 0.9798, 0.6978], [0.7500, 0.0202, 0.3022], [0.7500, 0.6624, 0.0788], [0.2500, 0.4840, 0.6267], [0.2500, 0.3376, 0.9212], [0.2500, 0.7627, 0.9065], [0.7500, 0.2678, 0.7515], [0.7500, 0.7742, 0.5669], [0.7500, 0.2373, 0.0935], [0.2500, 0.2258, 0.4331], [0.2500, 0.7322, 0.2485]]
}

2.
{
  "formula": "VNiPbS2",
  "functional": "PBE-GGA",
  "state": "relaxed",
  "e_form_raw_ev_per_atom": 1.563,
  "magmom_total_mub_per_atom": 0.440,
  "total_energy_ev_per_atom": -3.810,
  "dos_ef_per_ev_cell": 13.3,
  "cell": [[5.2143, 0.0000, 0.0000], [0.0000, 5.2446, 0.0000], [0.0000, 0.0000, 5.2143]],
  "species": ["Pb", "Ni", "S", "S", "V"],
  "fractional_positions": [[0.0000, 0.0000, 0.0000], [0.5000, 0.5000, 0.5000], [0.0000, 0.0000, 0.5000], [0.5000, 0.0000, 0.0000], [0.0000, 0.5000, 0.0000]]
}